# 1
K2ZnSn | PBE-GGA | relaxed

abc: 5.8741 5.8741 5.8741
angles: 60.00 60.00 60.00
Atoms (fractional coordinates):
Zn (0.0000, 0.0000, 0.0000)
K (0.2500, 0.2500, 0.2500)
K (0.7500, 0.7500, 0.7500)
Sn (0.5000, 0.5000, 0.5000)

- Crystal system: cubic

=====

# 2
KZnSn2 | PBE-GGA | relaxed

abc: 5.6890 5.6890 10.1558
angles: 73.73 73.73 90.00
Atoms (fractional coordinates):
Zn (0.7500, 0.2500, 0.5000)
Zn (0.0000, 0.0000, 0.0000)
Sn (0.3750, 0.1792, 0.7500)
Sn (0.8750, 0.0708, 0.7500)
Sn (0.9292, 0.6250, 0.2500)
Sn (0.8208, 0.1250, 0.2500)
K (0.5000, 0.5000, 0.0000)
K (0.2500, 0.7500, 0.5000)

- Crystal system: tetragonal

=====

# 3
KZn2Sn2 | PBE-GGA | relaxed

abc: 7.1179 7.4544 7.5724
angles: 75.19 61.36 53.67
Atoms (fractional coordinates):
Zn (0.8914, 0.8177, 0.8112)
Zn (0.1086, 0.1823, 0.1888)
Zn (0.6483, 0.3835, 0.2103)
Zn (0.3517, 0.6165, 0.7897)
K (0.1209, 0.2560, 0.7065)
K (0.8791, 0.7440, 0.2935)
Sn (0.7134, 0.1962, 0.5581)
Sn (0.4939, 0.7635, 0.9766)
Sn (0.5061, 0.2365, 0.0234)
Sn (0.2866, 0.8038, 0.4419)

- Crystal system: triclinic
- Energy above the most stable polymorph in this dataset: 83.2 meV per atom

=====

Number 1: volume 143.32 Å³ per cell, ΔH_f (0 K) 0.18 eV per atom, total moment 0.00 μB per formula unit. Number 2: volume 301.81 Å³ per cell, ΔH_f (0 K) 0.07 eV per atom, total moment 0.00 μB per formula unit. Number 3: volume 283.86 Å³ per cell, ΔH_f (0 K) -0.04 eV per atom, total moment 0.00 μB per formula unit.